Below is a relaxed structure of CuAsPb, with properties calculated at the GGA-PBEsol level.

Cell and atoms, written as POSCAR:
```
CuAsPb
1.0
-1.619 1.619 5.733
1.619 -1.619 5.733
1.619 1.619 -5.733
Cu As Pb
1 1 1
Direct
0.000 0.000 0.000 Cu
0.407 0.407 0.000 As
0.685 0.685 0.000 Pb
```

Its formation energy is 0.1851 eV/atom. Its space group is I4mm (107). The energy above the lowest structure with this stoichiometry is 0.1888 eV per atom.

Below is a relaxed structure of SrCuHg, with properties calculated at the GGA-PBEsol level.

Cell and atoms, written as POSCAR:
```
SrCuHg
1.0
4.552 0.000 0.000
-2.276 3.942 0.000
0.000 0.000 4.149
Sr Cu Hg
1 1 1
Direct
0.000 0.000 0.000 Sr
0.333 0.667 0.500 Cu
0.667 0.333 0.500 Hg
```

Its formation energy is -0.2763 eV/atom. Its space group is P-6m2 (187).

Below is a relaxed structure of SbPtSN2, with properties calculated at the GGA-PBEsol level.

Cell and atoms, written as POSCAR:
```
SbPtSN2
1.0
3.882 0.000 0.000
0.000 3.882 0.000
0.000 0.000 4.971
Sb Pt S N
1 1 1 2
Direct
0.000 0.000 0.000 Sb
0.500 0.500 0.500 Pt
0.500 0.500 0.000 S
0.000 0.500 0.500 N
0.500 0.000 0.500 N
```

Its space group is P4/mmm (123). The value obtained for the final energy is -5.575 eV per atom.

Below is a relaxed structure of Y2AgRh, with properties calculated at the GGA-PBEsol level.

Cell and atoms, written as POSCAR:
```
Y2AgRh
1.0
4.887 0.000 0.000
0.000 4.887 0.000
0.000 0.000 3.502
Y Ag Rh
2 1 1
Direct
0.000 0.500 0.000 Y
0.500 0.000 0.000 Y
0.000 0.000 0.500 Ag
0.500 0.500 0.500 Rh
```

Its formation energy is -0.5428 eV/atom. Its space group is P4/mmm (123).

Computed values of DOS(E_F) (unit: states/eV per atom) for the preceding records, in sequence: 0.404; 0.516; 0.735; 0.524.